# 1
This record from Alexandria via LeMat-Bulk describes a relaxed PmNdHo5Tm2 crystal. The functional is PBE.

abc: 10.263 10.263 10.586
angles: 90.00 90.00 148.40
Fractional coordinates of all 18 atoms:
Pm  0.083  0.917  0.500
Pm  0.917  0.083  0.000
Nd  0.299  0.701  0.062
Nd  0.701  0.299  0.562
Ho  0.023  0.977  0.786
Ho  0.108  0.892  0.074
Ho  0.201  0.799  0.758
Ho  0.218  0.782  0.359
Ho  0.483  0.517  0.077
Ho  0.517  0.483  0.577
Ho  0.782  0.218  0.859
Ho  0.799  0.201  0.258
Ho  0.892  0.108  0.574
Ho  0.977  0.023  0.286
Tm  0.387  0.613  0.370
Tm  0.391  0.609  0.787
Tm  0.609  0.391  0.287
Tm  0.613  0.387  0.870

## Properties
space-group type: Cmc2_1, No. 36
energy of formation: 0.162 eV/atom
total magnetization: 0.00 Bohr magnetons per cell
D(E_F): 1.529 states/eV/atom

***

# 2
This record from Alexandria via LeMat-Bulk describes a relaxed TlZnAg2 crystal. The functional is PBE.

abc: 7.616 7.616 7.616
angles: 131.26 131.26 71.40
Fractional coordinates of all 8 atoms:
Tl  0.000  0.000  0.000
Tl  0.750  0.250  0.500
Zn  0.250  0.750  0.500
Zn  0.500  0.500  0.000
Ag  0.168  0.625  0.043
Ag  0.375  0.418  0.543
Ag  0.582  0.125  0.957
Ag  0.875  0.832  0.457

## Properties
space-group type: I-42d, No. 122
energy of formation: 0.446 eV/atom
total magnetization: 0.00 Bohr magnetons per cell
D(E_F): 0.277 states/eV/atom

***

# 3
This record from Alexandria via LeMat-Bulk describes a relaxed La5Ga2Bi2 crystal. The functional is PBE.

abc: 9.251 9.251 8.442
angles: 90.00 90.00 54.41
Fractional coordinates of all 18 atoms:
La  0.000  0.000  0.000
La  0.042  0.694  0.671
La  0.194  0.542  0.171
La  0.306  0.958  0.671
La  0.458  0.806  0.171
La  0.500  0.500  0.500
La  0.542  0.194  0.829
La  0.694  0.042  0.329
La  0.806  0.458  0.829
La  0.958  0.306  0.329
Ga  0.118  0.882  0.384
Ga  0.382  0.618  0.884
Ga  0.618  0.382  0.116
Ga  0.882  0.118  0.616
Bi  0.206  0.206  0.000
Bi  0.294  0.294  0.500
Bi  0.706  0.706  0.500
Bi  0.794  0.794  0.000

## Properties
space-group type: Cmce, No. 64
energy of formation: -0.738 eV/atom
total magnetization: 0.05 Bohr magnetons per cell
D(E_F): 0.869 states/eV/atom

***

# 4
This record from Alexandria via LeMat-Bulk describes a relaxed Tl2CuSbO6 crystal. The functional is PBE.

abc: 6.056 6.056 6.056
angles: 55.71 55.71 55.71
Fractional coordinates of all 10 atoms:
Tl  0.000  0.000  0.000
Tl  0.483  0.483  0.483
Cu  0.265  0.265  0.265
Sb  0.693  0.693  0.693
O  0.048  0.442  0.789
O  0.332  0.898  0.588
O  0.442  0.789  0.048
O  0.588  0.332  0.898
O  0.789  0.048  0.442
O  0.898  0.588  0.332

## Properties
space-group type: R3, No. 146
formation energy without anion corrections: -8.60 eV per formula unit
total magnetization: 0.20 Bohr magnetons per cell
D(E_F): 0.405 states/eV/atom

***

# 5
This record from Alexandria via LeMat-Bulk describes a relaxed SrCuSe2Br crystal. The functional is PBE.

abc: 5.953 5.953 5.807
angles: 90.00 90.00 90.00
Fractional coordinates of all 5 atoms:
Sr  0.000  0.000  0.000
Cu  0.500  0.500  0.500
Se  0.000  0.500  0.000
Se  0.500  0.000  0.000
Br  0.000  0.000  0.500

## Properties
space-group type: P4/mmm, No. 123
formation energy without anion corrections: 0.78 eV per formula unit
distance to the lowest polymorph of the same formula: 942.2 meV per atom
total magnetization: 2.02 Bohr magnetons per cell
D(E_F): 0.864 states/eV/atom

***

# 6
This record from Alexandria via LeMat-Bulk describes a relaxed InOsF2 crystal. The functional is PBE.

abc: 4.385 4.385 4.385
angles: 60.00 60.00 60.00
Fractional coordinates of all 4 atoms:
In  0.000  0.000  0.000
Os  0.500  0.500  0.500
F  0.250  0.250  0.250
F  0.750  0.750  0.750

## Properties
space-group type: Fm-3m, No. 225
formation energy without anion corrections: 0.12 eV per formula unit
distance to the lowest polymorph of the same formula: 860.2 meV per atom
total magnetization: 2.75 Bohr magnetons per cell
D(E_F): 0.492 states/eV/atom

***

Question: What is the formula in the fourth record?
Answer: Tl2CuSbO6

***

Question: Number 6 is which compound?
Answer: InOsF2